# 1
Entry from Alexandria via LeMat-Bulk: a relaxed structure of Tb8Nd3In (GGA-PBE).

Computed properties:
energy = -4.027 eV per atom
Fermi-level density of states = 1.520 states/eV per atom
symmetry = I-42m

```
data_Tb8Nd3In
_cell_length_a 8.349
_cell_length_b 8.349
_cell_length_c 8.349
_cell_angle_alpha 94.78
_cell_angle_beta 117.28
_cell_angle_gamma 117.28
_symmetry_space_group_name_H-M 'P 1'
_symmetry_Int_Tables_number 1
_symmetry_space_group_name_Hall 'P 1'
loop_
_atom_site_label
_atom_site_type_symbol
_atom_site_fract_x
_atom_site_fract_y
_atom_site_fract_z
_atom_site_occupancy
Nd1 Nd 0.500 0.750 0.250 1
Nd2 Nd 0.000 0.500 0.500 1
Nd3 Nd 0.500 0.250 0.750 1
In1 In 0.000 0.000 0.000 1
Tb1 Tb 0.748 0.126 0.126 1
Tb2 Tb 0.000 0.623 0.874 1
Tb3 Tb 0.000 0.240 0.738 1
Tb4 Tb 0.498 0.760 0.760 1
Tb5 Tb 0.000 0.874 0.623 1
Tb6 Tb 0.502 0.262 0.262 1
Tb7 Tb 0.000 0.738 0.240 1
Tb8 Tb 0.252 0.377 0.377 1
```



# 2
Entry from Alexandria via LeMat-Bulk: a relaxed structure of BaNa23Tl6 (GGA-PBE).

Computed properties:
energy = -1.596 eV per atom
Fermi-level density of states = 0.402 states/eV per atom
symmetry = Fm-3m

```
data_BaNa23Tl6
_cell_length_a 11.197
_cell_length_b 11.197
_cell_length_c 11.197
_cell_angle_alpha 60.00
_cell_angle_beta 60.00
_cell_angle_gamma 60.00
_symmetry_space_group_name_H-M 'P 1'
_symmetry_Int_Tables_number 1
_symmetry_space_group_name_Hall 'P 1'
loop_
_atom_site_label
_atom_site_type_symbol
_atom_site_fract_x
_atom_site_fract_y
_atom_site_fract_z
_atom_site_occupancy
Na1 Na 0.500 0.000 0.000 1
Na2 Na 0.500 0.500 0.000 1
Na3 Na 0.365 0.904 0.365 1
Na4 Na 0.120 0.120 0.641 1
Na5 Na 0.000 0.500 0.500 1
Na6 Na 0.500 0.000 0.500 1
Na7 Na 0.000 0.000 0.500 1
Na8 Na 0.635 0.096 0.635 1
Na9 Na 0.904 0.365 0.365 1
Na10 Na 0.120 0.120 0.120 1
Na11 Na 0.641 0.120 0.120 1
Na12 Na 0.359 0.880 0.880 1
Na13 Na 0.365 0.365 0.365 1
Na14 Na 0.635 0.635 0.635 1
Na15 Na 0.880 0.880 0.880 1
Na16 Na 0.365 0.365 0.904 1
Na17 Na 0.000 0.500 0.000 1
Na18 Na 0.000 0.000 0.000 1
Na19 Na 0.880 0.880 0.359 1
Na20 Na 0.635 0.635 0.096 1
Na21 Na 0.120 0.641 0.120 1
Na22 Na 0.880 0.359 0.880 1
Na23 Na 0.096 0.635 0.635 1
Tl1 Tl 0.256 0.256 0.744 1
Tl2 Tl 0.256 0.744 0.744 1
Tl3 Tl 0.744 0.744 0.256 1
Tl4 Tl 0.744 0.256 0.744 1
Tl5 Tl 0.256 0.744 0.256 1
Tl6 Tl 0.744 0.256 0.256 1
Ba1 Ba 0.500 0.500 0.500 1
```



# 3
Entry from Alexandria via LeMat-Bulk: a relaxed structure of Pm2ErTlN (GGA-PBE).

Computed properties:
energy = -5.827 eV per atom
Fermi-level density of states = 0.462 states/eV per atom
symmetry = P4/mmm
formation energy from raw total energies = -0.875 eV/atom

```
data_Pm2ErTlN
_cell_length_a 4.769
_cell_length_b 5.000
_cell_length_c 5.000
_cell_angle_alpha 90.00
_cell_angle_beta 90.00
_cell_angle_gamma 90.00
_symmetry_space_group_name_H-M 'P 1'
_symmetry_Int_Tables_number 1
_symmetry_space_group_name_Hall 'P 1'
loop_
_atom_site_label
_atom_site_type_symbol
_atom_site_fract_x
_atom_site_fract_y
_atom_site_fract_z
_atom_site_occupancy
Tl1 Tl 0.500 0.500 0.500 1
Pm1 Pm 0.000 0.000 0.500 1
Pm2 Pm 0.000 0.500 0.000 1
Er1 Er 0.500 0.000 0.000 1
N1 N 0.000 0.000 0.000 1
```



# 4
Entry from Alexandria via LeMat-Bulk: a relaxed structure of LiLaSeBr (GGA-PBE).

Computed properties:
energy = -4.588 eV per atom
Fermi-level density of states = 0.592 states/eV per atom
symmetry = R-3m
formation energy from raw total energies = -1.588 eV/atom

```
data_LiLaSeBr
_cell_length_a 4.195
_cell_length_b 4.195
_cell_length_c 14.901
_cell_angle_alpha 81.91
_cell_angle_beta 81.91
_cell_angle_gamma 60.00
_symmetry_space_group_name_H-M 'P 1'
_symmetry_Int_Tables_number 1
_symmetry_space_group_name_Hall 'P 1'
loop_
_atom_site_label
_atom_site_type_symbol
_atom_site_fract_x
_atom_site_fract_y
_atom_site_fract_z
_atom_site_occupancy
Se1 Se 0.628 0.628 0.117 1
Se2 Se 0.372 0.372 0.883 1
La1 La 0.918 0.918 0.246 1
La2 La 0.082 0.082 0.754 1
Br1 Br 0.209 0.209 0.374 1
Br2 Br 0.791 0.791 0.626 1
Li1 Li 0.312 0.312 0.063 1
Li2 Li 0.688 0.688 0.937 1
```



# 5
Entry from Alexandria via LeMat-Bulk: a relaxed structure of Sr2UGe4Pt3 (GGA-PBE).

Computed properties:
energy = -5.745 eV per atom
Fermi-level density of states = 0.749 states/eV per atom
symmetry = P-4m2

```
data_Sr2UGe4Pt3
_cell_length_a 4.364
_cell_length_b 4.364
_cell_length_c 11.532
_cell_angle_alpha 90.00
_cell_angle_beta 90.00
_cell_angle_gamma 90.00
_symmetry_space_group_name_H-M 'P 1'
_symmetry_Int_Tables_number 1
_symmetry_space_group_name_Hall 'P 1'
loop_
_atom_site_label
_atom_site_type_symbol
_atom_site_fract_x
_atom_site_fract_y
_atom_site_fract_z
_atom_site_occupancy
U1 U 0.500 0.500 0.500 1
Sr1 Sr 0.500 0.000 0.232 1
Sr2 Sr 0.000 0.500 0.768 1
Pt1 Pt 0.000 0.500 0.115 1
Pt2 Pt 0.000 0.000 0.500 1
Pt3 Pt 0.500 0.000 0.885 1
Ge1 Ge 0.000 0.000 0.000 1
Ge2 Ge 0.500 0.000 0.665 1
Ge3 Ge 0.000 0.500 0.335 1
Ge4 Ge 0.500 0.500 0.000 1
```



# 6
Entry from Alexandria via LeMat-Bulk: a relaxed structure of Al2Au13 (GGA-PBE).

Computed properties:
energy = -3.362 eV per atom
Fermi-level density of states = 0.242 states/eV per atom
symmetry = R-3m

```
data_Al2Au13
_cell_length_a 7.358
_cell_length_b 7.358
_cell_length_c 7.884
_cell_angle_alpha 62.18
_cell_angle_beta 62.18
_cell_angle_gamma 60.00
_symmetry_space_group_name_H-M 'P 1'
_symmetry_Int_Tables_number 1
_symmetry_space_group_name_Hall 'P 1'
loop_
_atom_site_label
_atom_site_type_symbol
_atom_site_fract_x
_atom_site_fract_y
_atom_site_fract_z
_atom_site_occupancy
Al1 Al 0.632 0.632 0.104 1
Al2 Al 0.368 0.368 0.896 1
Au1 Au 0.397 0.005 0.202 1
Au2 Au 0.397 0.397 0.202 1
Au3 Au 0.603 0.603 0.798 1
Au4 Au 0.603 0.995 0.798 1
Au5 Au 0.754 0.754 0.365 1
Au6 Au 0.874 0.246 0.635 1
Au7 Au 0.500 0.500 0.500 1
Au8 Au 0.005 0.397 0.202 1
Au9 Au 0.246 0.874 0.635 1
Au10 Au 0.995 0.603 0.798 1
Au11 Au 0.126 0.754 0.365 1
Au12 Au 0.754 0.126 0.365 1
Au13 Au 0.246 0.246 0.635 1
```



# 7
Entry from Alexandria via LeMat-Bulk: a relaxed structure of RbPtSN2 (GGA-PBE).

Computed properties:
energy = -2.616 eV per atom
Fermi-level density of states = 0.862 states/eV per atom
symmetry = P4/mmm
formation energy from raw total energies = 2.941 eV/atom

```
data_RbPtSN2
_cell_length_a 4.362
_cell_length_b 4.362
_cell_length_c 6.277
_cell_angle_alpha 90.00
_cell_angle_beta 90.00
_cell_angle_gamma 90.00
_symmetry_space_group_name_H-M 'P 1'
_symmetry_Int_Tables_number 1
_symmetry_space_group_name_Hall 'P 1'
loop_
_atom_site_label
_atom_site_type_symbol
_atom_site_fract_x
_atom_site_fract_y
_atom_site_fract_z
_atom_site_occupancy
Rb1 Rb 0.000 0.000 0.000 1
Pt1 Pt 0.500 0.500 0.500 1
S1 S 0.000 0.000 0.500 1
N1 N 0.000 0.500 0.000 1
N2 N 0.500 0.000 0.000 1
```



# 8
Entry from Alexandria via LeMat-Bulk: a relaxed structure of NdDyFe4 (GGA-PBE).

Computed properties:
energy = -7.202 eV per atom
Fermi-level density of states = 1.287 states/eV per atom
symmetry = F-43m

```
data_NdDyFe4
_cell_length_a 5.205
_cell_length_b 5.205
_cell_length_c 5.205
_cell_angle_alpha 60.00
_cell_angle_beta 60.00
_cell_angle_gamma 60.00
_symmetry_space_group_name_H-M 'P 1'
_symmetry_Int_Tables_number 1
_symmetry_space_group_name_Hall 'P 1'
loop_
_atom_site_label
_atom_site_type_symbol
_atom_site_fract_x
_atom_site_fract_y
_atom_site_fract_z
_atom_site_occupancy
Dy1 Dy 0.000 0.000 0.000 1
Nd1 Nd 0.250 0.250 0.250 1
Fe1 Fe 0.625 0.625 0.625 1
Fe2 Fe 0.625 0.124 0.625 1
Fe3 Fe 0.625 0.625 0.124 1
Fe4 Fe 0.124 0.625 0.625 1
```



# 9
Entry from Alexandria via LeMat-Bulk: a relaxed structure of LiAcPb2O4 (GGA-PBE).

Computed properties:
energy = -5.953 eV per atom
symmetry = Cmcm
formation energy from raw total energies = -1.794 eV/atom

```
data_LiAcPb2O4
_cell_length_a 3.585
_cell_length_b 6.201
_cell_length_c 12.467
_cell_angle_alpha 90.00
_cell_angle_beta 90.00
_cell_angle_gamma 106.80
_symmetry_space_group_name_H-M 'P 1'
_symmetry_Int_Tables_number 1
_symmetry_space_group_name_Hall 'P 1'
loop_
_atom_site_label
_atom_site_type_symbol
_atom_site_fract_x
_atom_site_fract_y
_atom_site_fract_z
_atom_site_occupancy
O1 O 0.000 0.000 0.000 1
O2 O 0.296 0.592 0.139 1
O3 O 0.296 0.592 0.361 1
O4 O 0.704 0.408 0.861 1
O5 O 0.000 0.000 0.500 1
O6 O 0.439 0.879 0.750 1
O7 O 0.704 0.408 0.639 1
O8 O 0.561 0.121 0.250 1
Li1 Li 0.827 0.653 0.750 1
Li2 Li 0.173 0.347 0.250 1
Ac1 Ac 0.100 0.201 0.750 1
Ac2 Ac 0.900 0.799 0.250 1
Pb1 Pb 0.633 0.267 0.049 1
Pb2 Pb 0.367 0.733 0.549 1
Pb3 Pb 0.367 0.733 0.951 1
Pb4 Pb 0.633 0.267 0.451 1
```



# 10
Entry from Alexandria via LeMat-Bulk: a relaxed structure of SrPt2Cl (GGA-PBE).

Computed properties:
energy = -3.783 eV per atom
Fermi-level density of states = 0.966 states/eV per atom
symmetry = P4/mmm
formation energy from raw total energies = 0.119 eV/atom

```
data_SrPt2Cl
_cell_length_a 3.159
_cell_length_b 3.159
_cell_length_c 8.200
_cell_angle_alpha 90.00
_cell_angle_beta 90.00
_cell_angle_gamma 90.04
_symmetry_space_group_name_H-M 'P 1'
_symmetry_Int_Tables_number 1
_symmetry_space_group_name_Hall 'P 1'
loop_
_atom_site_label
_atom_site_type_symbol
_atom_site_fract_x
_atom_site_fract_y
_atom_site_fract_z
_atom_site_occupancy
Pt1 Pt 0.000 0.000 0.979 1
Pt2 Pt 0.000 0.000 0.521 1
Cl1 Cl 0.500 0.500 0.750 1
Sr1 Sr 0.500 0.500 0.250 1
```



# 11
Entry from Alexandria via LeMat-Bulk: a relaxed structure of PmHoEr (GGA-PBE).

Computed properties:
energy = -4.565 eV per atom
Fermi-level density of states = 1.640 states/eV per atom
symmetry = P2_1/m

```
data_PmHoEr
_cell_length_a 3.502
_cell_length_b 5.314
_cell_length_c 10.439
_cell_angle_alpha 90.00
_cell_angle_beta 99.67
_cell_angle_gamma 90.00
_symmetry_space_group_name_H-M 'P 1'
_symmetry_Int_Tables_number 1
_symmetry_space_group_name_Hall 'P 1'
loop_
_atom_site_label
_atom_site_type_symbol
_atom_site_fract_x
_atom_site_fract_y
_atom_site_fract_z
_atom_site_occupancy
Er1 Er 0.790 0.750 0.084 1
Er2 Er 0.210 0.250 0.916 1
Pm1 Pm 0.954 0.750 0.411 1
Pm2 Pm 0.046 0.250 0.589 1
Ho1 Ho 0.375 0.250 0.254 1
Ho2 Ho 0.625 0.750 0.746 1
```



# 12
Entry from Alexandria via LeMat-Bulk: a relaxed structure of HfAu (GGA-PBE).

Computed properties:
energy = -7.038 eV per atom
Fermi-level density of states = 0.960 states/eV per atom
symmetry = Pnma

```
data_HfAu
_cell_length_a 11.372
_cell_length_b 4.760
_cell_length_c 5.786
_cell_angle_alpha 90.00
_cell_angle_beta 90.00
_cell_angle_gamma 90.00
_symmetry_space_group_name_H-M 'P 1'
_symmetry_Int_Tables_number 1
_symmetry_space_group_name_Hall 'P 1'
loop_
_atom_site_label
_atom_site_type_symbol
_atom_site_fract_x
_atom_site_fract_y
_atom_site_fract_z
_atom_site_occupancy
Au1 Au 0.191 0.750 0.590 1
Au2 Au 0.809 0.250 0.410 1
Au3 Au 0.691 0.750 0.910 1
Au4 Au 0.309 0.250 0.090 1
Au5 Au 0.914 0.750 0.160 1
Au6 Au 0.586 0.250 0.660 1
Au7 Au 0.086 0.250 0.840 1
Au8 Au 0.414 0.750 0.340 1
Hf1 Hf 0.451 0.750 0.849 1
Hf2 Hf 0.549 0.250 0.151 1
Hf3 Hf 0.321 0.250 0.584 1
Hf4 Hf 0.179 0.750 0.084 1
Hf5 Hf 0.821 0.250 0.916 1
Hf6 Hf 0.049 0.250 0.349 1
Hf7 Hf 0.679 0.750 0.416 1
Hf8 Hf 0.951 0.750 0.651 1
```



For reference, total magnetic moment by record: 0.00; 0.00; 0.00; 0.00; 2.00; 0.00; 4.57; 7.68; 0.00; 0.00; 0.00; 0.15 μB/f.u..
For reference, density by record: 7075; 3165; 9408; 4516; 9745; 13943; 4736; 8829; 8916; 10417; 8274; 15924 kg/m³.